# 1
{"formula": "Ac3NiIr", "functional": "PBE-GGA", "state": "relaxed", "lattice": [[-3.449, 2.639, 0.851], [-0.021, 0.077, 11.183], [2.980, 6.350, 3.887]], "species": ["Ac", "Ac", "Ac", "Ac", "Ac", "Ac", "Ni", "Ni", "Ir", "Ir"], "frac_coords": [[0.034, 0.197, 0.736], [0.307, 0.132, 0.254], [0.693, 0.868, 0.746], [0.356, 0.511, 0.776], [0.966, 0.803, 0.264], [0.644, 0.489, 0.224], [0.667, 0.182, 0.485], [0.333, 0.818, 0.515], [0.837, 0.316, 0.010], [0.163, 0.684, 0.990]], "delta_e_f_kj_per_mol_atoms": -40, "sg": "C2/m (12)"}

***

# 2
{"formula": "CaTcBi2", "functional": "PBE-GGA", "state": "relaxed", "lattice": [[8.230, 0.000, 0.000], [0.000, 8.230, 0.000], [4.115, 4.115, 3.300]], "species": ["Bi", "Bi", "Bi", "Bi", "Ca", "Ca", "Tc", "Tc"], "frac_coords": [[0.074, 0.625, 0.250], [0.676, 0.125, 0.250], [0.875, 0.926, 0.750], [0.375, 0.324, 0.750], [0.500, 0.500, 0.000], [0.250, 0.750, 0.500], [0.000, 0.000, 0.000], [0.750, 0.250, 0.500]], "de_polymorph_kcal_per_mol_atoms": 2.75, "delta_e_f_kj_per_mol_atoms": 19, "sg": "I-42d (122)"}

***

# 3
{"formula": "CsRb3Re", "functional": "PBE-GGA", "state": "relaxed", "lattice": [[7.130, 0.000, 0.000], [0.000, 7.130, 0.000], [0.000, 0.000, 7.130]], "species": ["Rb", "Rb", "Rb", "Re", "Cs"], "frac_coords": [[0.000, 0.500, 0.000], [0.000, 0.000, 0.500], [0.500, 0.000, 0.000], [0.000, 0.000, 0.000], [0.500, 0.500, 0.500]], "de_polymorph_kcal_per_mol_atoms": 0.00, "delta_e_f_kj_per_mol_atoms": 123, "sg": "Pm-3m (221)"}

***

# 4
{"formula": "SrZn2PS", "functional": "PBE-GGA", "state": "relaxed", "lattice": [[4.637, 0.000, 0.000], [0.000, 5.580, 0.000], [0.000, 0.000, 4.637]], "species": ["Zn", "Zn", "S", "Sr", "P"], "frac_coords": [[0.000, 0.000, 0.500], [0.500, 0.000, 0.000], [0.000, 0.500, 0.000], [0.500, 0.500, 0.500], [0.000, 0.000, 0.000]], "sg": "P4/mmm (123)", "formation_energy_uncorrected_ev_per_atom": -0.249}

***

# 5
{"formula": "ZrTcTeN2", "functional": "PBE-GGA", "state": "relaxed", "lattice": [[4.146, 0.000, 0.000], [0.000, 4.146, 0.000], [0.000, 0.000, 6.098]], "species": ["Te", "N", "N", "Tc", "Zr"], "frac_coords": [[0.000, 0.000, 0.500], [0.500, 0.000, 0.000], [0.000, 0.500, 0.000], [0.500, 0.500, 0.500], [0.000, 0.000, 0.000]], "de_polymorph_kcal_per_mol_atoms": 7.91, "sg": "P4/mmm (123)", "formation_energy_uncorrected_ev_per_atom": 0.870}